# Ba2Ni2P2H PBE relaxed
data_Ba2Ni2P2H
_chemical_formula_sum 'Ba4 Ni4 P4 H2'
_symmetry_space_group_name_H-M 'C 1 2/m 1'
_symmetry_Int_Tables_number 12
_cell_length_a 11.8001
_cell_length_b 3.9702
_cell_length_c 7.2861
_cell_angle_alpha 90.00
_cell_angle_beta 124.29
_cell_angle_gamma 90.00
loop_
_symmetry_equiv_pos_as_xyz
'x,y,z'
'-x,-y,-z'
'-x,y,-z'
'x,-y,z'
'x+1/2,y+1/2,z'
'-x+1/2,-y+1/2,-z'
'-x+1/2,y+1/2,-z'
'x+1/2,-y+1/2,z'
loop_
_atom_site_label
_atom_site_fract_x
_atom_site_fract_y
_atom_site_fract_z
Ba1 0.0520 0.0000 0.3011
Ni1 0.2194 0.5000 0.0824
P1 0.1990 0.5000 0.7594
H1 0.0000 0.5000 0.0000
# Total DFT energy (no corrections) in eV per cell: -68.71